(1)
# La2TaSb | the Alexandria database | PBE-GGA | optimized geometry
# SG   I-42d
data_La2TaSb
_space_group_name_H-M_alt 'P 1'
_space_group_IT_number 1
_space_group_name_Hall 'P 1'
_cell_length_a 8.549
_cell_length_b 8.549
_cell_length_c 6.801
_cell_angle_alpha 51.06
_cell_angle_beta 51.06
_cell_angle_gamma 90.00
loop_
_atom_site_label
_atom_site_fract_x
_atom_site_fract_y
_atom_site_fract_z
La1 0.098 0.625 0.250
La2 0.652 0.125 0.250
La3 0.375 0.348 0.750
La4 0.875 0.902 0.750
Ta1 0.750 0.250 0.500
Ta2 0.000 0.000 0.000
Sb1 0.250 0.750 0.500
Sb2 0.500 0.500 0.000

(2)
# La2TaSb | the Alexandria database | PBE-GGA | optimized geometry
# SG   Pmmm
data_La2TaSb
_space_group_name_H-M_alt 'P 1'
_space_group_IT_number 1
_space_group_name_Hall 'P 1'
_cell_length_a 4.100
_cell_length_b 4.115
_cell_length_c 7.948
_cell_angle_alpha 58.85
_cell_angle_beta 90.00
_cell_angle_gamma 90.00
loop_
_atom_site_label
_atom_site_fract_x
_atom_site_fract_y
_atom_site_fract_z
Sb1 0.500 0.250 0.250
La1 0.000 0.996 0.004
La2 0.000 0.504 0.496
Ta1 0.500 0.750 0.750

(3)
# LaTa3Sb | the Alexandria database | PBE-GGA | optimized geometry
# SG   Pm-3m
data_LaTa3Sb
_space_group_name_H-M_alt 'P 1'
_space_group_IT_number 1
_space_group_name_Hall 'P 1'
_cell_length_a 5.005
_cell_length_b 5.005
_cell_length_c 5.005
_cell_angle_alpha 90.00
_cell_angle_beta 90.00
_cell_angle_gamma 90.00
loop_
_atom_site_label
_atom_site_fract_x
_atom_site_fract_y
_atom_site_fract_z
Sb1 0.500 0.500 0.500
La1 0.000 0.000 0.000
Ta1 0.500 0.000 0.000
Ta2 0.000 0.500 0.000
Ta3 0.000 0.000 0.500

(4)
# LaTa2Sb | the Alexandria database | PBE-GGA | optimized geometry
# SG   P4/mmm
data_LaTa2Sb
_space_group_name_H-M_alt 'P 1'
_space_group_IT_number 1
_space_group_name_Hall 'P 1'
_cell_length_a 3.091
_cell_length_b 3.091
_cell_length_c 9.557
_cell_angle_alpha 90.00
_cell_angle_beta 90.00
_cell_angle_gamma 90.00
loop_
_atom_site_label
_atom_site_fract_x
_atom_site_fract_y
_atom_site_fract_z
Sb1 0.500 0.500 0.750
La1 0.500 0.500 0.250
Ta1 0.000 0.000 0.970
Ta2 0.000 0.000 0.530

(5)
# La2Ta2Sb | the Alexandria database | PBE-GGA | optimized geometry
# SG   P4/mbm
data_La2Ta2Sb
_space_group_name_H-M_alt 'P 1'
_space_group_IT_number 1
_space_group_name_Hall 'P 1'
_cell_length_a 8.171
_cell_length_b 8.171
_cell_length_c 3.961
_cell_angle_alpha 90.00
_cell_angle_beta 90.00
_cell_angle_gamma 90.00
loop_
_atom_site_label
_atom_site_fract_x
_atom_site_fract_y
_atom_site_fract_z
Ta1 0.818 0.318 0.500
Ta2 0.318 0.182 0.500
Ta3 0.682 0.818 0.500
Ta4 0.182 0.682 0.500
Sb1 0.500 0.500 0.000
Sb2 0.000 0.000 0.000
La1 0.868 0.632 0.000
La2 0.132 0.368 0.000
La3 0.632 0.132 0.000
La4 0.368 0.868 0.000

(6)
# LaTa2Sb | the Alexandria database | PBE-GGA | optimized geometry
# SG   I-42d
data_LaTa2Sb
_space_group_name_H-M_alt 'P 1'
_space_group_IT_number 1
_space_group_name_Hall 'P 1'
_cell_length_a 8.351
_cell_length_b 8.351
_cell_length_c 6.609
_cell_angle_alpha 50.82
_cell_angle_beta 50.82
_cell_angle_gamma 90.00
loop_
_atom_site_label
_atom_site_fract_x
_atom_site_fract_y
_atom_site_fract_z
Sb1 0.250 0.750 0.500
Sb2 0.500 0.500 0.000
Ta1 0.573 0.125 0.250
Ta2 0.875 0.823 0.750
Ta3 0.375 0.427 0.750
Ta4 0.177 0.625 0.250
La1 0.750 0.250 0.500
La2 0.000 0.000 0.000

Number 1: total DFT energy (no corrections) -49.43 eV per cell. Number 2: total DFT energy (no corrections) -26.02 eV per cell. Number 3: total DFT energy (no corrections) -33.89 eV per cell. Number 4: total DFT energy (no corrections) -30.52 eV per cell. Number 5: total DFT energy (no corrections) -66.67 eV per cell. Number 6: total DFT energy (no corrections) -59.99 eV per cell.